Crystalline SmMg2ScAg4 at its relaxed geometry, computed with PBE.

Unit cell a=8.555 b=8.555 c=8.555 alpha=33.15 beta=33.15 gamma=33.15
Element x y z (fractional)
Sm  0.000  0.000  0.000
Mg  0.247  0.247  0.247
Mg  0.753  0.753  0.753
Sc  0.500  0.500  0.500
Ag  0.129  0.129  0.129
Ag  0.382  0.382  0.382
Ag  0.618  0.618  0.618
Ag  0.871  0.871  0.871

Results
calculated total energy = -3.48 eV per atom
magnetic moment = 0.000 μB per atom
volume = 20.8 A^3/atom